{
  "formula": "La2TmSn9",
  "functional": "PBE",
  "state": "relaxed",
  "dos_at_fermi_per_ev_fu": 7.52,
  "space_group": "P4/mmm (123)",
  "formation_enthalpy_0k_kj_per_mol_fu": -590,
  "lattice": [[4.810, 0.000, 0.000], [0.000, 4.810, 0.000], [0.000, 0.000, 14.067]],
  "species": ["La", "La", "Tm", "Sn", "Sn", "Sn", "Sn", "Sn", "Sn", "Sn", "Sn", "Sn"],
  "fractional_positions": [[0.000, 0.000, 0.170], [0.000, 0.000, 0.830], [0.000, 0.000, 0.500], [0.000, 0.500, 0.000], [0.000, 0.500, 0.341], [0.000, 0.500, 0.659], [0.500, 0.000, 0.000], [0.500, 0.000, 0.341], [0.500, 0.000, 0.659], [0.500, 0.500, 0.170], [0.500, 0.500, 0.500], [0.500, 0.500, 0.830]]
}